Density functional theory data (GGA-PBE) for crystalline NbOs2W2 at its relaxed geometry.

Geometry as extended XYZ:
```
10
Lattice="7.5698 0.0000 0.0000 0.0000 7.5698 0.0000 0.0000 0.0000 2.8846" Properties=species:S:1:pos:R:3 pbc="T T T"
W 1.1656 2.6193 0.0000
W 6.4042 4.9504 0.0000
W 2.6193 6.4042 0.0000
W 4.9504 1.1656 0.0000
Nb 3.7849 3.7849 0.0000
Nb 0.0000 0.0000 0.0000
Os 4.8695 6.4851 1.4423
Os 2.7002 1.0847 1.4423
Os 1.0847 4.8695 1.4423
Os 6.4851 2.7002 1.4423
```

Calculated values
Energy of formation = 0.18 eV per atom
DOS at the Fermi energy = 3.5 states/eV/f.u.
Excess energy over the best structure of this formula in the dataset = 0.222 eV/f.u.
Calculated total energy = -11.5098 eV per atom
Magnetic moment = 0.00 Bohr magnetons per cell